No. 1
# YMn2Ru PBE relaxed
# Density of states at the Fermi level: 3.5 states/eV per cell
# Formation enthalpy at 0 K: 0.26 eV/atom
data_YMn2Ru
_space_group_name_H-M_alt 'P 1'
_space_group_IT_number 1
_cell_length_a 4.627
_cell_length_b 4.627
_cell_length_c 4.627
_cell_angle_alpha 60.00
_cell_angle_beta 60.00
_cell_angle_gamma 60.00
loop_
_space_group_symop_operation_xyz
'x,y,z'
loop_
_atom_site_label
_atom_site_type_symbol
_atom_site_fract_x
_atom_site_fract_y
_atom_site_fract_z
Y1 Y 0.000 0.000 0.000
Mn1 Mn 0.500 0.500 0.500
Mn2 Mn 0.750 0.750 0.750
Ru1 Ru 0.250 0.250 0.250

---

No. 2
# KCa2Cd2 PBE relaxed
# Density of states at the Fermi level: 6.6 states/eV per cell
# Formation enthalpy at 0 K: -0.16 eV/atom
data_KCa2Cd2
_space_group_name_H-M_alt 'P 1'
_space_group_IT_number 1
_cell_length_a 9.388
_cell_length_b 9.388
_cell_length_c 3.908
_cell_angle_alpha 90.00
_cell_angle_beta 90.00
_cell_angle_gamma 90.00
loop_
_space_group_symop_operation_xyz
'x,y,z'
loop_
_atom_site_label
_atom_site_type_symbol
_atom_site_fract_x
_atom_site_fract_y
_atom_site_fract_z
K1 K 0.000 0.000 0.000
K2 K 0.500 0.500 0.000
Ca1 Ca 0.145 0.355 0.500
Ca2 Ca 0.355 0.855 0.500
Ca3 Ca 0.645 0.145 0.500
Ca4 Ca 0.855 0.645 0.500
Cd1 Cd 0.144 0.644 0.000
Cd2 Cd 0.356 0.144 0.000
Cd3 Cd 0.644 0.856 0.000
Cd4 Cd 0.856 0.356 0.000

---

No. 3
# UReGe PBE relaxed
# Density of states at the Fermi level: 3.3 states/eV per cell
# Formation enthalpy at 0 K: -0.06 eV/atom
data_UReGe
_space_group_name_H-M_alt 'P 1'
_space_group_IT_number 1
_cell_length_a 4.442
_cell_length_b 4.442
_cell_length_c 3.243
_cell_angle_alpha 90.00
_cell_angle_beta 90.00
_cell_angle_gamma 120.00
loop_
_space_group_symop_operation_xyz
'x,y,z'
loop_
_atom_site_label
_atom_site_type_symbol
_atom_site_fract_x
_atom_site_fract_y
_atom_site_fract_z
U1 U 0.000 0.000 0.000
Re1 Re 0.667 0.333 0.500
Ge1 Ge 0.333 0.667 0.500

---

No. 4
# Sr3ZnCr PBE relaxed
# Density of states at the Fermi level: 3.7 states/eV per cell
# Formation enthalpy at 0 K: 0.48 eV/atom
data_Sr3ZnCr
_space_group_name_H-M_alt 'P 1'
_space_group_IT_number 1
_cell_length_a 6.032
_cell_length_b 6.032
_cell_length_c 6.032
_cell_angle_alpha 90.00
_cell_angle_beta 90.00
_cell_angle_gamma 90.00
loop_
_space_group_symop_operation_xyz
'x,y,z'
loop_
_atom_site_label
_atom_site_type_symbol
_atom_site_fract_x
_atom_site_fract_y
_atom_site_fract_z
Sr1 Sr 0.000 0.000 0.500
Sr2 Sr 0.000 0.500 0.000
Sr3 Sr 0.500 0.000 0.000
Zn1 Zn 0.000 0.000 0.000
Cr1 Cr 0.500 0.500 0.500

---

No. 5
# Na3Cd9Au2 PBE relaxed
# Density of states at the Fermi level: 5.8 states/eV per cell
# Formation enthalpy at 0 K: -0.13 eV/atom
data_Na3Cd9Au2
_space_group_name_H-M_alt 'P 1'
_space_group_IT_number 1
_cell_length_a 8.688
_cell_length_b 8.688
_cell_length_c 8.688
_cell_angle_alpha 147.98
_cell_angle_beta 101.33
_cell_angle_gamma 87.47
loop_
_space_group_symop_operation_xyz
'x,y,z'
loop_
_atom_site_label
_atom_site_type_symbol
_atom_site_fract_x
_atom_site_fract_y
_atom_site_fract_z
Na1 Na 0.000 0.000 0.000
Na2 Na 0.289 0.289 0.000
Na3 Na 0.711 0.711 0.000
Cd1 Cd 0.001 0.632 0.370
Cd2 Cd 0.141 0.859 0.283
Cd3 Cd 0.262 0.632 0.630
Cd4 Cd 0.424 0.141 0.283
Cd5 Cd 0.500 0.000 0.500
Cd6 Cd 0.576 0.859 0.717
Cd7 Cd 0.738 0.368 0.370
Cd8 Cd 0.859 0.141 0.717
Cd9 Cd 0.999 0.368 0.630
Au1 Au 0.351 0.500 0.851
Au2 Au 0.649 0.500 0.149

---

No. 6
# V2FeTe PBE relaxed
# Density of states at the Fermi level: 6.8 states/eV per cell
# Formation energy without anion corrections: 0.76 eV per atom
data_V2FeTe
_space_group_name_H-M_alt 'P 1'
_space_group_IT_number 1
_cell_length_a 7.118
_cell_length_b 7.118
_cell_length_c 7.118
_cell_angle_alpha 134.53
_cell_angle_beta 134.53
_cell_angle_gamma 66.27
loop_
_space_group_symop_operation_xyz
'x,y,z'
loop_
_atom_site_label
_atom_site_type_symbol
_atom_site_fract_x
_atom_site_fract_y
_atom_site_fract_z
V1 V 0.053 0.625 0.928
V2 V 0.375 0.303 0.428
V3 V 0.697 0.125 0.072
V4 V 0.875 0.947 0.572
Fe1 Fe 0.000 0.000 0.000
Fe2 Fe 0.750 0.250 0.500
Te1 Te 0.250 0.750 0.500
Te2 Te 0.500 0.500 0.000

---

No. 7
# Na2ZrB PBE relaxed
# Density of states at the Fermi level: 6.6 states/eV per cell
# Formation enthalpy at 0 K: 0.91 eV/atom
data_Na2ZrB
_space_group_name_H-M_alt 'P 1'
_space_group_IT_number 1
_cell_length_a 6.875
_cell_length_b 6.875
_cell_length_c 6.875
_cell_angle_alpha 96.36
_cell_angle_beta 96.36
_cell_angle_gamma 141.12
loop_
_space_group_symop_operation_xyz
'x,y,z'
loop_
_atom_site_label
_atom_site_type_symbol
_atom_site_fract_x
_atom_site_fract_y
_atom_site_fract_z
Na1 Na 0.018 0.125 0.393
Na2 Na 0.375 0.982 0.107
Na3 Na 0.732 0.625 0.607
Na4 Na 0.875 0.268 0.893
Zr1 Zr 0.250 0.750 0.500
Zr2 Zr 0.500 0.500 0.000
B1 B 0.000 0.000 0.000
B2 B 0.750 0.250 0.500

---

No. 8
# CsLiTa2I PBE relaxed
# Density of states at the Fermi level: 7.6 states/eV per cell
# Formation energy without anion corrections: 2.53 eV per atom
data_CsLiTa2I
_space_group_name_H-M_alt 'P 1'
_space_group_IT_number 1
_cell_length_a 5.202
_cell_length_b 5.202
_cell_length_c 6.955
_cell_angle_alpha 90.00
_cell_angle_beta 90.00
_cell_angle_gamma 90.00
loop_
_space_group_symop_operation_xyz
'x,y,z'
loop_
_atom_site_label
_atom_site_type_symbol
_atom_site_fract_x
_atom_site_fract_y
_atom_site_fract_z
Cs1 Cs 0.000 0.000 0.000
Li1 Li 0.500 0.500 0.500
Ta1 Ta 0.000 0.500 0.000
Ta2 Ta 0.500 0.000 0.000
I1 I 0.000 0.000 0.500

---

No. 9
# Ca3Al2In4 PBE relaxed
# Density of states at the Fermi level: 3.9 states/eV per cell
# Formation enthalpy at 0 K: -0.34 eV/atom
data_Ca3Al2In4
_space_group_name_H-M_alt 'P 1'
_space_group_IT_number 1
_cell_length_a 6.173
_cell_length_b 6.173
_cell_length_c 9.263
_cell_angle_alpha 113.97
_cell_angle_beta 113.97
_cell_angle_gamma 46.67
loop_
_space_group_symop_operation_xyz
'x,y,z'
loop_
_atom_site_label
_atom_site_type_symbol
_atom_site_fract_x
_atom_site_fract_y
_atom_site_fract_z
Ca1 Ca 0.000 0.000 0.000
Ca2 Ca 0.336 0.336 0.329
Ca3 Ca 0.664 0.664 0.671
Al1 Al 0.389 0.389 0.722
Al2 Al 0.611 0.611 0.278
In1 In 0.083 0.083 0.412
In2 In 0.307 0.307 0.967
In3 In 0.693 0.693 0.033
In4 In 0.917 0.917 0.588

---

No. 10
# Tm3ZnSb2 PBE relaxed
# Density of states at the Fermi level: 12.9 states/eV per cell
# Formation energy without anion corrections: -0.63 eV per atom
data_Tm3ZnSb2
_space_group_name_H-M_alt 'P 1'
_space_group_IT_number 1
_cell_length_a 7.375
_cell_length_b 7.375
_cell_length_c 8.592
_cell_angle_alpha 106.93
_cell_angle_beta 106.93
_cell_angle_gamma 48.38
loop_
_space_group_symop_operation_xyz
'x,y,z'
loop_
_atom_site_label
_atom_site_type_symbol
_atom_site_fract_x
_atom_site_fract_y
_atom_site_fract_z
Tm1 Tm 0.000 0.000 0.250
Tm2 Tm 0.000 0.000 0.750
Tm3 Tm 0.334 0.334 0.417
Tm4 Tm 0.334 0.334 0.917
Tm5 Tm 0.666 0.666 0.083
Tm6 Tm 0.666 0.666 0.583
Zn1 Zn 0.500 0.500 0.250
Zn2 Zn 0.500 0.500 0.750
Sb1 Sb 0.168 0.168 0.084
Sb2 Sb 0.168 0.168 0.584
Sb3 Sb 0.832 0.832 0.416
Sb4 Sb 0.832 0.832 0.916

---

No. 11
# SbMoP2 PBE relaxed
# Density of states at the Fermi level: 6.4 states/eV per cell
# Formation energy without anion corrections: 0.27 eV per atom
data_SbMoP2
_space_group_name_H-M_alt 'P 1'
_space_group_IT_number 1
_cell_length_a 6.995
_cell_length_b 6.995
_cell_length_c 6.995
_cell_angle_alpha 130.91
_cell_angle_beta 130.91
_cell_angle_gamma 71.96
loop_
_space_group_symop_operation_xyz
'x,y,z'
loop_
_atom_site_label
_atom_site_type_symbol
_atom_site_fract_x
_atom_site_fract_y
_atom_site_fract_z
Sb1 Sb 0.000 0.000 0.000
Sb2 Sb 0.750 0.250 0.500
Mo1 Mo 0.250 0.750 0.500
Mo2 Mo 0.500 0.500 0.000
P1 P 0.177 0.625 0.052
P2 P 0.375 0.427 0.552
P3 P 0.573 0.125 0.948
P4 P 0.875 0.823 0.448

---

No. 12
# TcBBr2 PBE relaxed
# Density of states at the Fermi level: 3.2 states/eV per cell
# Formation energy without anion corrections: 1.50 eV per atom
data_TcBBr2
_space_group_name_H-M_alt 'P 1'
_space_group_IT_number 1
_cell_length_a 6.522
_cell_length_b 6.522
_cell_length_c 6.522
_cell_angle_alpha 123.51
_cell_angle_beta 123.51
_cell_angle_gamma 84.02
loop_
_space_group_symop_operation_xyz
'x,y,z'
loop_
_atom_site_label
_atom_site_type_symbol
_atom_site_fract_x
_atom_site_fract_y
_atom_site_fract_z
Tc1 Tc 0.000 0.000 0.000
Tc2 Tc 0.750 0.250 0.500
B1 B 0.250 0.750 0.500
B2 B 0.500 0.500 0.000
Br1 Br 0.113 0.625 0.988
Br2 Br 0.375 0.363 0.488
Br3 Br 0.637 0.125 0.012
Br4 Br 0.875 0.887 0.512

---

No. 13
# Tb7DySc2 PBE relaxed
# Density of states at the Fermi level: 13.7 states/eV per cell
# Formation enthalpy at 0 K: 0.65 eV/atom
data_Tb7DySc2
_space_group_name_H-M_alt 'P 1'
_space_group_IT_number 1
_cell_length_a 8.759
_cell_length_b 8.759
_cell_length_c 5.541
_cell_angle_alpha 90.00
_cell_angle_beta 90.00
_cell_angle_gamma 119.61
loop_
_space_group_symop_operation_xyz
'x,y,z'
loop_
_atom_site_label
_atom_site_type_symbol
_atom_site_fract_x
_atom_site_fract_y
_atom_site_fract_z
Tb1 Tb 0.000 0.000 0.000
Tb2 Tb 0.198 0.438 0.000
Tb3 Tb 0.259 0.741 0.500
Tb4 Tb 0.438 0.198 0.000
Tb5 Tb 0.562 0.802 0.000
Tb6 Tb 0.741 0.259 0.500
Tb7 Tb 0.802 0.562 0.000
Dy1 Dy 0.500 0.500 0.500
Sc1 Sc 0.205 0.795 0.000
Sc2 Sc 0.795 0.205 0.000

---

No. 14
# EuErTmSc PBE relaxed
# Density of states at the Fermi level: 7.7 states/eV per cell
# Formation enthalpy at 0 K: 0.18 eV/atom
data_EuErTmSc
_space_group_name_H-M_alt 'P 1'
_space_group_IT_number 1
_cell_length_a 5.572
_cell_length_b 5.572
_cell_length_c 5.572
_cell_angle_alpha 60.00
_cell_angle_beta 60.00
_cell_angle_gamma 60.00
loop_
_space_group_symop_operation_xyz
'x,y,z'
loop_
_atom_site_label
_atom_site_type_symbol
_atom_site_fract_x
_atom_site_fract_y
_atom_site_fract_z
Eu1 Eu 0.000 0.000 0.000
Er1 Er 0.250 0.250 0.250
Tm1 Tm 0.750 0.750 0.750
Sc1 Sc 0.500 0.500 0.500

---

No. 15
# Mn2Co2Hg PBE relaxed
# Density of states at the Fermi level: 15.3 states/eV per cell
# Formation enthalpy at 0 K: 0.44 eV/atom
data_Mn2Co2Hg
_space_group_name_H-M_alt 'P 1'
_space_group_IT_number 1
_cell_length_a 7.032
_cell_length_b 7.032
_cell_length_c 2.608
_cell_angle_alpha 90.00
_cell_angle_beta 90.00
_cell_angle_gamma 90.00
loop_
_space_group_symop_operation_xyz
'x,y,z'
loop_
_atom_site_label
_atom_site_type_symbol
_atom_site_fract_x
_atom_site_fract_y
_atom_site_fract_z
Mn1 Mn 0.115 0.385 0.000
Mn2 Mn 0.385 0.885 0.000
Mn3 Mn 0.615 0.115 0.000
Mn4 Mn 0.885 0.615 0.000
Co1 Co 0.172 0.672 0.500
Co2 Co 0.328 0.172 0.500
Co3 Co 0.672 0.828 0.500
Co4 Co 0.828 0.328 0.500
Hg1 Hg 0.000 0.000 0.000
Hg2 Hg 0.500 0.500 0.000

---

No. 16
# TbThInGa PBE relaxed
# Density of states at the Fermi level: 3.9 states/eV per cell
# Formation enthalpy at 0 K: -0.36 eV/atom
data_TbThInGa
_space_group_name_H-M_alt 'P 1'
_space_group_IT_number 1
_cell_length_a 5.306
_cell_length_b 5.306
_cell_length_c 5.306
_cell_angle_alpha 60.00
_cell_angle_beta 60.00
_cell_angle_gamma 60.00
loop_
_space_group_symop_operation_xyz
'x,y,z'
loop_
_atom_site_label
_atom_site_type_symbol
_atom_site_fract_x
_atom_site_fract_y
_atom_site_fract_z
Tb1 Tb 0.000 0.000 0.000
Th1 Th 0.500 0.500 0.500
In1 In 0.750 0.750 0.750
Ga1 Ga 0.250 0.250 0.250

---

No. 17
# LaPmNdDy PBE relaxed
# Density of states at the Fermi level: 8.8 states/eV per cell
# Formation enthalpy at 0 K: 0.12 eV/atom
data_LaPmNdDy
_space_group_name_H-M_alt 'P 1'
_space_group_IT_number 1
_cell_length_a 5.816
_cell_length_b 5.816
_cell_length_c 5.816
_cell_angle_alpha 60.00
_cell_angle_beta 60.00
_cell_angle_gamma 60.00
loop_
_space_group_symop_operation_xyz
'x,y,z'
loop_
_atom_site_label
_atom_site_type_symbol
_atom_site_fract_x
_atom_site_fract_y
_atom_site_fract_z
La1 La 0.000 0.000 0.000
Pm1 Pm 0.750 0.750 0.750
Nd1 Nd 0.500 0.500 0.500
Dy1 Dy 0.250 0.250 0.250

---

No. 18
# B2Pd6Au PBE relaxed
# Density of states at the Fermi level: 9.2 states/eV per cell
# Formation enthalpy at 0 K: -0.12 eV/atom
data_B2Pd6Au
_space_group_name_H-M_alt 'P 1'
_space_group_IT_number 1
_cell_length_a 7.470
_cell_length_b 7.470
_cell_length_c 5.466
_cell_angle_alpha 111.35
_cell_angle_beta 111.35
_cell_angle_gamma 74.15
loop_
_space_group_symop_operation_xyz
'x,y,z'
loop_
_atom_site_label
_atom_site_type_symbol
_atom_site_fract_x
_atom_site_fract_y
_atom_site_fract_z
B1 B 0.178 0.323 0.091
B2 B 0.323 0.178 0.591
B3 B 0.677 0.822 0.409
B4 B 0.822 0.677 0.909
Pd1 Pd 0.046 0.454 0.761
Pd2 Pd 0.065 0.162 0.246
Pd3 Pd 0.162 0.065 0.746
Pd4 Pd 0.338 0.436 0.517
Pd5 Pd 0.436 0.338 0.017
Pd6 Pd 0.454 0.046 0.261
Pd7 Pd 0.546 0.954 0.739
Pd8 Pd 0.564 0.662 0.983
Pd9 Pd 0.662 0.564 0.483
Pd10 Pd 0.838 0.935 0.254
Pd11 Pd 0.935 0.838 0.754
Pd12 Pd 0.954 0.546 0.239
Au1 Au 0.249 0.751 0.250
Au2 Au 0.751 0.249 0.750

---

No. 19
# EuErTh PBE relaxed
# Density of states at the Fermi level: 4.4 states/eV per cell
# Formation enthalpy at 0 K: 0.08 eV/atom
data_EuErTh
_space_group_name_H-M_alt 'P 1'
_space_group_IT_number 1
_cell_length_a 3.613
_cell_length_b 3.613
_cell_length_c 8.940
_cell_angle_alpha 90.00
_cell_angle_beta 90.00
_cell_angle_gamma 120.00
loop_
_space_group_symop_operation_xyz
'x,y,z'
loop_
_atom_site_label
_atom_site_type_symbol
_atom_site_fract_x
_atom_site_fract_y
_atom_site_fract_z
Eu1 Eu 0.000 0.000 0.000
Er1 Er 0.667 0.333 0.350
Th1 Th 0.333 0.667 0.660